Material: PIrS2
Method: DFT, SCAN
State: PBEsol geometry

Values from the calculation:
crystal system: trigonal
DFT total energy: -24.728 eV/atom
theoretical density: 7.61 g/cm3
total magnetization: 0.000 μB per formula unit

abc: 3.1643 3.1643 7.4583
angles: 77.75 77.75 60.00
Atoms (fractional coordinates):
P1 0.5000 0.5000 0.5000
S1 0.8983 0.8983 0.3050
S2 0.1017 0.1017 0.6950
Ir1 0.0000 0.0000 0.0000

Material: SbP2IrS
Method: DFT, SCAN
State: PBEsol geometry

Values from the calculation:
crystal system: tetragonal
DFT total energy: -25.817 eV/atom
theoretical density: 6.13 g/cm3
total magnetization: 1.450 μB per formula unit

abc: 4.6961 4.8501 4.8501
angles: 90.00 90.00 90.00
Atoms (fractional coordinates):
Sb1 0.0000 0.0000 0.0000
S1 0.5000 0.0000 0.0000
Ir1 0.5000 0.5000 0.5000
P1 0.0000 0.0000 0.5000
P2 0.0000 0.5000 0.0000

Material: SiPIrS2
Method: DFT, SCAN
State: PBEsol geometry

Values from the calculation:
crystal system: tetragonal
DFT total energy: -21.310 eV/atom
theoretical density: 5.29 g/cm3
total magnetization: 0.000 μB per formula unit

abc: 4.3303 4.7825 4.7825
angles: 90.00 90.00 90.00
Atoms (fractional coordinates):
P1 0.5000 0.0000 0.0000
S1 0.0000 0.0000 0.5000
S2 0.0000 0.5000 0.0000
Ir1 0.0000 0.0000 0.0000
Si1 0.5000 0.5000 0.5000

Material: SnPIrS2
Method: DFT, SCAN
State: PBEsol geometry

Values from the calculation:
crystal system: tetragonal
DFT total energy: -25.678 eV/atom
theoretical density: 6.11 g/cm3
total magnetization: 2.675 μB per formula unit

abc: 4.7537 4.7537 4.8859
angles: 90.00 90.00 90.00
Atoms (fractional coordinates):
P1 0.0000 0.0000 0.5000
S1 0.0000 0.5000 0.0000
S2 0.5000 0.0000 0.0000
Ir1 0.5000 0.5000 0.5000
Sn1 0.0000 0.0000 0.0000

Material: TiP2IrS
Method: DFT, SCAN
State: PBEsol geometry

Values from the calculation:
crystal system: tetragonal
DFT total energy: -22.614 eV/atom
theoretical density: 6.05 g/cm3
total magnetization: 1.185 μB per formula unit

abc: 4.4012 4.5650 4.5650
angles: 90.00 90.00 90.00
Atoms (fractional coordinates):
P1 0.0000 0.0000 0.5000
P2 0.0000 0.5000 0.0000
S1 0.5000 0.0000 0.0000
Ir1 0.5000 0.5000 0.5000
Ti1 0.0000 0.0000 0.0000

Material: ZrP2IrS
Method: DFT, SCAN
State: PBEsol geometry

Values from the calculation:
crystal system: tetragonal
DFT total energy: -25.355 eV/atom
theoretical density: 5.58 g/cm3
total magnetization: 2.134 μB per formula unit

abc: 4.6955 4.8925 4.8925
angles: 90.00 90.00 90.00
Atoms (fractional coordinates):
P1 0.0000 0.0000 0.5000
P2 0.0000 0.5000 0.0000
S1 0.5000 0.0000 0.0000
Ir1 0.5000 0.5000 0.5000
Zr1 0.0000 0.0000 0.0000

Material: Sb2PIr
Method: DFT, SCAN
State: PBEsol geometry

Values from the calculation:
crystal system: orthorhombic
DFT total energy: -39.057 eV/atom
theoretical density: 9.77 g/cm3
total magnetization: 0.000 μB per formula unit

abc: 4.2179 4.4472 4.4472
angles: 108.08 90.00 90.00
Atoms (fractional coordinates):
Sb1 0.0000 0.0454 0.9546
Sb2 0.5000 0.6948 0.3052
Ir1 0.0000 0.4609 0.5391
P1 0.5000 0.2958 0.7042

Material: Sb2PIr
Method: DFT, SCAN
State: PBEsol geometry

Values from the calculation:
crystal system: orthorhombic
DFT total energy: -38.887 eV/atom
theoretical density: 9.03 g/cm3
total magnetization: 0.000 μB per formula unit

abc: 3.4851 3.5098 7.4363
angles: 103.65 103.55 90.00
Atoms (fractional coordinates):
Sb1 0.1538 0.1538 0.3076
Sb2 0.8462 0.8462 0.6924
Ir1 0.0000 0.5000 0.0000
P1 0.5000 0.0000 0.0000